(1)
A geometry-optimized U3Hg5S12 structure. Source: the Alexandria database, functional GGA-PBE.

Computed properties:
Density, g cm⁻³: 7.3
Size of the total moment, μB/cell: 17.420
Calculated total energy, eV/atom: -4.7387

CIF file:
```
data_U3Hg5S12
_cell_length_a 13.5540
_cell_length_b 13.5540
_cell_length_c 13.5540
_cell_angle_alpha 109.47
_cell_angle_beta 109.47
_cell_angle_gamma 109.47
_symmetry_space_group_name_H-M 'P 1'
_symmetry_Int_Tables_number 1
loop_
_symmetry_equiv_pos_as_xyz
'x,y,z'
loop_
_atom_site_label
_atom_site_type_symbol
_atom_site_fract_x
_atom_site_fract_y
_atom_site_fract_z
S1 S 0.0822 0.1713 0.4443
S2 S 0.1713 0.0891 0.7270
S3 S 0.8621 0.5891 0.9178
S4 S 0.6379 0.5822 0.9109
S5 S 0.1379 0.7270 0.5557
S6 S 0.4178 0.0557 0.3287
S7 S 0.8287 0.9178 0.0557
S8 S 0.4109 0.2730 0.3287
S9 S 0.2270 0.6713 0.0891
S10 S 0.0891 0.1713 0.2270
S11 S 0.3287 0.5557 0.4178
S12 S 0.9109 0.0822 0.6379
S13 S 0.0557 0.6379 0.7270
S14 S 0.6713 0.4443 0.5822
S15 S 0.9443 0.3621 0.2730
S16 S 0.0891 0.9178 0.3621
S17 S 0.5891 0.8621 0.4178
S18 S 0.8287 0.9109 0.2730
S19 S 0.2270 0.5557 0.6379
S20 S 0.5891 0.7270 0.6713
S21 S 0.7270 0.1379 0.0557
S22 S 0.4109 0.1379 0.5822
S23 S 0.5822 0.6379 0.4109
S24 S 0.0557 0.4178 0.8287
S25 S 0.7270 0.5891 0.1713
S26 S 0.7730 0.3287 0.9109
S27 S 0.3621 0.9443 0.7730
S28 S 0.4443 0.6713 0.0822
S29 S 0.8621 0.2730 0.4443
S30 S 0.9443 0.5822 0.1713
S31 S 0.9178 0.0891 0.8621
S32 S 0.5557 0.2270 0.1379
S33 S 0.2730 0.8621 0.9443
S34 S 0.2730 0.4109 0.8287
S35 S 0.1379 0.4109 0.0822
S36 S 0.7730 0.4443 0.3621
S37 S 0.4443 0.7730 0.8621
S38 S 0.9178 0.8287 0.5557
S39 S 0.9109 0.8287 0.7730
S40 S 0.0822 0.9109 0.1379
S41 S 0.6379 0.0557 0.2270
S42 S 0.1713 0.0822 0.9443
S43 S 0.5822 0.9443 0.6713
S44 S 0.4178 0.3621 0.5891
S45 S 0.5557 0.3287 0.9178
S46 S 0.3287 0.7730 0.4109
S47 S 0.3621 0.4178 0.0891
S48 S 0.6713 0.2270 0.5891
Hg1 Hg 0.5000 0.0000 0.5000
Hg2 Hg 0.0000 0.0000 0.5000
Hg3 Hg 0.3750 0.1250 0.7500
Hg4 Hg 0.8750 0.6250 0.7500
Hg5 Hg 0.8750 0.2500 0.6250
Hg6 Hg 0.2500 0.8750 0.1250
Hg7 Hg 0.5000 0.5000 0.0000
Hg8 Hg 0.6250 0.8750 0.2500
Hg9 Hg 0.0000 0.5000 0.0000
Hg10 Hg 0.3750 0.2500 0.1250
Hg11 Hg 0.1250 0.3750 0.2500
Hg12 Hg 0.0000 0.5000 0.5000
Hg13 Hg 0.1250 0.7500 0.3750
Hg14 Hg 0.5000 0.0000 0.0000
Hg15 Hg 0.0000 0.0000 0.0000
Hg16 Hg 0.2500 0.3750 0.6250
Hg17 Hg 0.7500 0.1250 0.8750
Hg18 Hg 0.7500 0.6250 0.3750
Hg19 Hg 0.5000 0.5000 0.5000
Hg20 Hg 0.6250 0.7500 0.8750
U1 U 0.1250 0.2500 0.8750
U2 U 0.1250 0.8750 0.7500
U3 U 0.7500 0.3750 0.1250
U4 U 0.7500 0.8750 0.6250
U5 U 0.8750 0.7500 0.1250
U6 U 0.6250 0.3750 0.7500
U7 U 0.6250 0.2500 0.3750
U8 U 0.3750 0.7500 0.6250
U9 U 0.3750 0.6250 0.2500
U10 U 0.2500 0.6250 0.8750
U11 U 0.2500 0.1250 0.3750
U12 U 0.8750 0.1250 0.2500
```


(2)
A geometry-optimized Mg2H5Ir3 structure. Source: the Alexandria database, functional GGA-PBE.

Computed properties:
Energy relative to the lowest polymorph listed for this composition, meV/atom: 20
Density, g cm⁻³: 10.1
Size of the total moment, μB/cell: 0.000

CIF file:
```
data_Mg2H5Ir3
_cell_length_a 4.8491
_cell_length_b 2.9327
_cell_length_c 7.3316
_cell_angle_alpha 89.93
_cell_angle_beta 82.35
_cell_angle_gamma 90.00
_symmetry_space_group_name_H-M 'P 1'
_symmetry_Int_Tables_number 1
loop_
_symmetry_equiv_pos_as_xyz
'x,y,z'
loop_
_atom_site_label
_atom_site_type_symbol
_atom_site_fract_x
_atom_site_fract_y
_atom_site_fract_z
Ir1 Ir 0.0664 0.6880 0.4142
Ir2 Ir 0.5351 0.1883 0.3819
Ir3 Ir 0.1660 0.1871 0.7533
Mg1 Mg 0.6956 0.6876 0.7132
Mg2 Mg 0.1623 0.1889 0.1174
H1 H 0.4941 0.1877 0.6265
H2 H 0.8630 0.1865 0.8906
H3 H 0.5929 0.1891 0.1578
H4 H 0.2541 0.6868 0.8739
H5 H 0.7908 0.6886 0.2896
```


(3)
A geometry-optimized YSb2BrF structure. Source: the Alexandria database, functional GGA-PBE.

Computed properties:
Density, g cm⁻³: 4.5
Size of the total moment, μB/cell: 0.000
Calculated total energy, eV/atom: -4.5374

CIF file:
```
data_YSb2BrF
_cell_length_a 6.1543
_cell_length_b 4.1882
_cell_length_c 6.1543
_cell_angle_alpha 90.00
_cell_angle_beta 90.00
_cell_angle_gamma 90.00
_symmetry_space_group_name_H-M 'P 1'
_symmetry_Int_Tables_number 1
loop_
_symmetry_equiv_pos_as_xyz
'x,y,z'
loop_
_atom_site_label
_atom_site_type_symbol
_atom_site_fract_x
_atom_site_fract_y
_atom_site_fract_z
Br1 Br 0.5000 0.5000 0.5000
Sb1 Sb 0.0000 0.0000 0.5000
Sb2 Sb 0.5000 0.0000 0.0000
Y1 Y 0.0000 0.0000 0.0000
F1 F 0.0000 0.5000 0.0000
```


(4)
A geometry-optimized Dy2BeGeRh6 structure. Source: the Alexandria database, functional GGA-PBE.

Computed properties:
Density, g cm⁻³: 10.0
Size of the total moment, μB/cell: 0.001
Formation energy from the elements, eV per formula unit: -5.1

CIF file:
```
data_Dy2BeGeRh6
_cell_length_a 6.2216
_cell_length_b 6.2222
_cell_length_c 6.2318
_cell_angle_alpha 59.96
_cell_angle_beta 59.96
_cell_angle_gamma 90.00
_symmetry_space_group_name_H-M 'P 1'
_symmetry_Int_Tables_number 1
loop_
_symmetry_equiv_pos_as_xyz
'x,y,z'
loop_
_atom_site_label
_atom_site_type_symbol
_atom_site_fract_x
_atom_site_fract_y
_atom_site_fract_z
Ge1 Ge 0.0000 0.0000 0.0000
Rh1 Rh 0.7372 0.7370 0.0002
Rh2 Rh 0.7373 0.7373 0.5253
Rh3 Rh 0.2628 0.2630 0.9998
Rh4 Rh 0.2628 0.7373 0.0000
Rh5 Rh 0.7372 0.2627 0.0000
Rh6 Rh 0.2627 0.2627 0.4747
Dy1 Dy 0.7502 0.2498 0.5000
Dy2 Dy 0.2498 0.7502 0.5000
Be1 Be 0.5000 0.5000 0.0000
```


(5)
A geometry-optimized Cs2PuCoS4 structure. Source: the Alexandria database, functional GGA-PBE.

Computed properties:
Density, g cm⁻³: 4.0
Size of the total moment, μB/cell: 13.999
Calculated total energy, eV/atom: -5.8718

CIF file:
```
data_Cs2PuCoS4
_cell_length_a 6.2464
_cell_length_b 7.8498
_cell_length_c 13.2406
_cell_angle_alpha 84.61
_cell_angle_beta 76.36
_cell_angle_gamma 66.55
_symmetry_space_group_name_H-M 'P 1'
_symmetry_Int_Tables_number 1
loop_
_symmetry_equiv_pos_as_xyz
'x,y,z'
loop_
_atom_site_label
_atom_site_type_symbol
_atom_site_fract_x
_atom_site_fract_y
_atom_site_fract_z
S1 S 0.1802 0.3120 0.4046
S2 S 0.5077 0.3120 0.5954
S3 S 0.8531 0.8120 0.9046
S4 S 0.5698 0.1880 0.0954
S5 S 0.8969 0.6880 0.5954
S6 S 0.3348 0.8120 0.0954
S7 S 0.4152 0.6880 0.4046
S8 S 0.2423 0.1880 0.9046
Cs1 Cs 0.9281 0.5000 0.1437
Cs2 Cs 0.5719 0.5000 0.8563
Cs3 Cs 0.8219 0.0000 0.3563
Cs4 Cs 0.1781 0.0000 0.6437
Co1 Co 0.5000 0.0000 0.0000
Co2 Co 0.2500 0.5000 0.5000
Pu1 Pu 0.7500 0.5000 0.5000
Pu2 Pu 0.0000 0.0000 0.0000
```